1.
A plane-wave DFT calculation with GGA-PBE was carried out for a geometry-optimized RbAs2SeO structure.

```
RbAs2SeO
1.0
-0.970 2.316 3.782
-3.840 -2.377 0.470
2.596 -3.624 2.885
O As Se Rb
1 2 1 1
direct
0.000 0.000 0.000
0.500 0.000 0.000
0.000 0.500 0.000
0.000 0.000 0.500
0.500 0.500 0.500
```

Formation energy without anion corrections (eV per atom): 0.19
Offset from the most stable computed form (meV per atom): 212

---

2.
A plane-wave DFT calculation with GGA-PBE was carried out for a geometry-optimized RbAs2SeO structure.

```
RbAs2SeO
1.0
-5.605 -3.461 -3.784
1.536 -6.481 3.653
-4.311 1.701 4.831
Rb O Se As
1 1 1 2
direct
0.000 0.000 0.000
0.500 0.500 0.500
0.000 0.000 0.500
0.500 0.000 0.000
0.000 0.500 0.000
```

Formation energy without anion corrections (eV per atom): 1.72
Offset from the most stable computed form (meV per atom): 1739